Density functional theory data (PBE) for a relaxed structure of TaCr2H.

Properties
* energy relative to the lowest polymorph listed for this composition: 0.000 eV per atom
* total magnetization: 8.87 μB/cell

Cell: 7.178 7.178 7.178 Å, 90.00 90.00 90.00°
Space group Fd-3m (No. 227, origin choice 2)
One atom of each set of equivalent atoms:
Ta  0.125  0.125  0.125
Cr  0.000  0.000  0.500
H  0.125  0.125  0.625